1.
Entry from the Open Quantum Materials Database: a geometry-optimized SnHgTeO structure (PBE-GGA).

abc: 5.3963 8.9870 9.2742
angles: 90.00 90.00 90.00
Last column: nearest neighbours and their distance in Å.
Space group P2_12_12_1 (No. 19)
Asymmetric unit:
Sn  0.2326  0.1183  0.4622  2 O 2.02
Hg  0.2041  0.6416  0.5822  3 Te 2.90-3.07
Te  0.0296  0.4262  0.8181  3 Hg 2.90-3.07, 2 Sn 3.02-3.08
O  0.0536  0.7527  0.0907  2 Sn 2.02

Properties
energy above the lowest structure with this stoichiometry: 38 meV/atom

***

2.
Entry from the Open Quantum Materials Database: a geometry-optimized SrHgO3 structure (PBE-GGA).

abc: 4.1828 4.1828 4.2825
angles: 90.00 90.00 90.00
Last column: nearest neighbours and their distance in Å.
Space group P4mm (No. 99)
Asymmetric unit:
Sr  0.0000  0.0000  0.0000  8 O 2.68-2.97
Hg  0.5000  0.5000  0.5507  6 O 2.11-2.16
O  0.0000  0.5000  0.6089  2 Hg 2.11
O  0.5000  0.5000  0.0557  2 Hg 2.12-2.16

Properties
E: -21.593 eV/f.u.

***

3.
Entry from the Open Quantum Materials Database: a geometry-optimized SrHgO3 structure (PBE-GGA).

abc: 5.9178 5.9178 15.6091
angles: 90.00 90.00 120.00
Last column: nearest neighbours and their distance in Å.
Space group R-3 (No. 148, hexagonal axes)
Asymmetric unit:
Sr  0.0000  0.0000  0.1307  6 O 2.44-2.60
Hg  0.0000  0.0000  0.3474  6 O 2.19-2.23
O  0.0253  0.6260  0.9224  2 Hg 2.19-2.23, 1 Sr 2.44

Properties
E: -21.546 eV/f.u.

***

4.
Entry from the Open Quantum Materials Database: a geometry-optimized SrHgO3 structure (PBE-GGA).

abc: 6.6067 7.6553 5.9336
angles: 90.00 90.00 90.00
Last column: nearest neighbours and their distance in Å.
Space group Pnma (No. 62)
Asymmetric unit:
Sr  0.0758  0.2500  0.0198  8 O 2.52-2.77
Hg  0.0000  0.0000  0.5000  4 O 2.05-2.10
O  0.0665  0.7500  0.3743  2 Hg 2.10
O  0.1709  0.5468  0.7825  1 Hg 2.05

Properties
E: -22.184 eV/f.u.

***

5.
Entry from the Open Quantum Materials Database: a geometry-optimized SrHgO3 structure (PBE-GGA).

abc: 6.0255 6.0255 13.8284
angles: 90.00 90.00 120.00
Last column: nearest neighbours and their distance in Å.
Space group R-3c (No. 167, hexagonal axes)
Asymmetric unit:
Sr  0.0000  0.0000  0.2500  3 O 2.49
Hg  0.0000  0.0000  0.0000  6 O 2.15
O  0.0000  0.4127  0.2500  2 Hg 2.15

Properties
E: -21.966 eV/f.u.

***

6.
Entry from the Open Quantum Materials Database: a geometry-optimized Sr2Hg2O5 structure (PBE-GGA).

abc: 4.0071 4.0071 10.0069
angles: 90.00 90.00 90.00
Last column: nearest neighbours and their distance in Å.
Space group P4/mmm (No. 123)
Asymmetric unit:
Sr  0.0000  0.0000  0.2487  5 O 2.35-2.49
Hg  0.5000  0.5000  0.0000  4 O 2.83
Hg  0.5000  0.5000  0.5000  8 O 2.38
O  0.0000  0.0000  0.0000  2 Sr 2.49
O  0.0000  0.5000  0.3723  2 Sr 2.35, 2 Hg 2.38, 1 O 2.56

Properties
energy above the lowest structure with this stoichiometry: 370 meV/atom

***

7.
Entry from the Open Quantum Materials Database: a geometry-optimized Sr2Hg2O5 structure (PBE-GGA).

abc: 4.2815 4.2815 7.5406
angles: 90.00 90.00 90.00
Last column: nearest neighbours and their distance in Å.
Space group P4/mmm (No. 123)
Asymmetric unit:
Sr  0.0000  0.0000  0.0000  8 O 2.68
Sr  0.0000  0.0000  0.5000  12 O 3.03-3.04
Hg  0.5000  0.5000  0.2087  5 O 2.14-2.20
O  0.0000  0.5000  0.2142  2 Hg 2.14
O  0.5000  0.5000  0.5000  2 Hg 2.20

Properties
energy above the lowest structure with this stoichiometry: 0 meV/atom

***

8.
Entry from the Open Quantum Materials Database: a geometry-optimized Sr2HgO4 structure (PBE-GGA).

abc: 10.0142 10.0142 10.0142
angles: 90.00 90.00 90.00
Last column: nearest neighbours and their distance in Å.
Space group Fd-3m (No. 227, origin choice 2)
Asymmetric unit:
Sr  0.0000  0.0000  0.0000  6 O 2.48
Hg  0.1250  0.1250  0.6250  4 O 2.22
O  0.0028  0.0028  0.2472  1 Hg 2.22, 3 Sr 2.48

Properties
E: -32.642 eV/f.u.

***

9.
Entry from the Open Quantum Materials Database: a geometry-optimized Ta2Hg2O5 structure (PBE-GGA).

abc: 3.8326 3.8326 9.9595
angles: 90.00 90.00 90.00
Last column: nearest neighbours and their distance in Å.
Space group P4/mmm (No. 123)
Asymmetric unit:
Ta  0.0000  0.0000  0.1951  5 O 1.94-1.97
Hg  0.5000  0.5000  0.0000  4 O 2.71
Hg  0.5000  0.5000  0.5000  8 O 3.22
O  0.0000  0.0000  0.0000  2 Ta 1.94
O  0.0000  0.5000  0.2401  2 Ta 1.97

Properties
energy above the lowest structure with this stoichiometry: 0 meV/atom

***

10.
Entry from the Open Quantum Materials Database: a geometry-optimized Ta2Hg2O5 structure (PBE-GGA).

abc: 3.3762 3.3762 9.7325
angles: 90.00 90.00 90.00
Last column: nearest neighbours and their distance in Å.
Space group P4/mmm (No. 123)
Asymmetric unit:
Ta  0.0000  0.0000  0.0000  8 Hg 3.00
Ta  0.0000  0.0000  0.5000  12 O 2.21-2.39
Hg  0.5000  0.5000  0.1858  4 O 2.35
O  0.0000  0.5000  0.3542  6 O 2.21-2.39, 2 Ta 2.21, 2 Hg 2.35
O  0.5000  0.5000  0.5000  8 O 2.21, 4 Ta 2.39

Properties
energy above the lowest structure with this stoichiometry: 1530 meV/atom

***

11.
Entry from the Open Quantum Materials Database: a geometry-optimized Ta2HgO4 structure (PBE-GGA).

abc: 9.3460 9.3460 9.3460
angles: 90.00 90.00 90.00
Last column: nearest neighbours and their distance in Å.
Space group Fd-3m (No. 227, origin choice 2)
Asymmetric unit:
Ta  0.0000  0.0000  0.0000  6 O 2.10
Hg  0.1250  0.1250  0.6250  4 O 2.48
O  0.0285  0.0285  0.2215  3 Ta 2.10

Properties
E: -55.022 eV/f.u.

***

12.
Entry from the Open Quantum Materials Database: a geometry-optimized Ta2Hg2O7 structure (PBE-GGA).

abc: 7.4204 10.4998 7.4325
angles: 90.00 90.00 90.00
Last column: nearest neighbours and their distance in Å.
Space group Ima2 (No. 46)
Asymmetric unit:
Ta  0.0000  0.0000  0.0000  6 O 1.97-1.99
Ta  0.2500  0.2497  0.2496  6 O 1.97-1.99
Hg  0.0000  0.0000  0.4990  2 O 2.27
Hg  0.2500  0.7483  0.7505  2 O 2.27
O  0.0589  0.1245  0.1927  2 Ta 1.98-1.99
O  0.0599  0.1256  0.8120  2 Ta 1.97-1.98
O  0.2500  0.1845  0.5014  2 Ta 1.97-1.99
O  0.2500  0.5651  0.5019  2 Ta 1.98
O  0.2500  0.6252  0.0020  4 Hg 2.27

Properties
E: -80.281 eV/f.u.

***

Repeat the third record exactly.
Entry from the Open Quantum Materials Database: a geometry-optimized SrHgO3 structure (PBE-GGA).

abc: 5.9178 5.9178 15.6091
angles: 90.00 90.00 120.00
Last column: nearest neighbours and their distance in Å.
Space group R-3 (No. 148, hexagonal axes)
Asymmetric unit:
Sr  0.0000  0.0000  0.1307  6 O 2.44-2.60
Hg  0.0000  0.0000  0.3474  6 O 2.19-2.23
O  0.0253  0.6260  0.9224  2 Hg 2.19-2.23, 1 Sr 2.44

Properties
E: -21.546 eV/f.u.